[1]
PrEuMgIr: relaxed, GGA-PBE.

Lattice parameters (Å, degrees): 7.3541 7.3541 7.3541 90.00 90.00 90.00
Last column: nearest neighbours and their distance in Å.
Space group F-43m (No. 216)
Asymmetric unit:
1 Pr 0.0000 0.0000 0.0000 x4  4 Ir 3.18, 4 Mg 3.18
2 Eu 0.0000 0.0000 0.5000 x4  4 Mg 3.18, 4 Ir 3.18
3 Mg 0.2500 0.2500 0.7500 x4  4 Pr 3.18, 4 Eu 3.18
4 Ir 0.2500 0.2500 0.2500 x4  4 Pr 3.18, 4 Eu 3.18

Computed properties:
formation energy: -218 meV/atom

=====

[2]
SmEuMgIr: relaxed, GGA-PBE.

Lattice parameters (Å, degrees): 7.2773 7.2773 7.2773 90.00 90.00 90.00
Last column: nearest neighbours and their distance in Å.
Space group F-43m (No. 216)
Asymmetric unit:
1 Sm 0.0000 0.0000 0.0000 x4  4 Mg 3.15, 4 Ir 3.15
2 Eu 0.0000 0.0000 0.5000 x4  4 Mg 3.15, 4 Ir 3.15
3 Mg 0.2500 0.2500 0.7500 x4  4 Sm 3.15, 4 Eu 3.15
4 Ir 0.2500 0.2500 0.2500 x4  4 Sm 3.15, 4 Eu 3.15

Computed properties:
formation energy: -246 meV/atom

=====

[3]
EuMgZnIr: relaxed, GGA-PBE.

Lattice parameters (Å, degrees): 6.8366 6.8366 6.8366 90.00 90.00 90.00
Last column: nearest neighbours and their distance in Å.
Space group F-43m (No. 216)
Asymmetric unit:
1 Eu 0.0000 0.0000 0.0000 x4  4 Ir 2.96, 4 Zn 2.96
2 Mg 0.0000 0.0000 0.5000 x4  4 Ir 2.96, 4 Zn 2.96
3 Zn 0.2500 0.2500 0.2500 x4  4 Mg 2.96, 4 Eu 2.96
4 Ir 0.2500 0.2500 0.7500 x4  4 Mg 2.96, 4 Eu 2.96

Computed properties:
formation energy: -182 meV/atom

=====

[4]
EuMnIr: relaxed, GGA-PBE.

Lattice parameters (Å, degrees): 4.2439 4.2439 4.2822 90.00 90.00 120.00
Last column: nearest neighbours and their distance in Å.
Space group P-6m2 (No. 187)
Asymmetric unit:
1 Eu 0.0000 0.0000 0.0000 x1  6 Mn 3.25, 6 Ir 3.25
2 Mn 0.6667 0.3333 0.5000 x1  3 Ir 2.45
3 Ir 0.3333 0.6667 0.5000 x1  3 Mn 2.45

Computed properties:
formation energy: -9 meV/atom

=====

[5]
EuIrN: relaxed, GGA-PBE.

Lattice parameters (Å, degrees): 3.2951 3.2951 5.2124 90.00 90.00 120.00
Last column: nearest neighbours and their distance in Å.
Space group P3m1 (No. 156)
Asymmetric unit:
1 Eu 0.0000 0.0000 0.0000 x1  3 N 2.49
2 Ir 0.6667 0.3333 0.5327 x1  3 N 2.08
3 N 0.3333 0.6667 0.6920 x1  3 Ir 2.08

Computed properties:
formation energy from raw total energies: -23 kJ/mol of formula units

=====

[6]
Eu3IrN: relaxed, GGA-PBE.

Lattice parameters (Å, degrees): 4.8639 4.8639 4.8639 90.00 90.00 90.00
Last column: nearest neighbours and their distance in Å.
Space group Pm-3m (No. 221)
Asymmetric unit:
1 Eu 0.0000 0.0000 0.5000 x3  2 N 2.43
2 Ir 0.5000 0.5000 0.5000 x1  12 Eu 3.44
3 N 0.0000 0.0000 0.0000 x1  6 Eu 2.43

Computed properties:
formation energy from raw total energies: -212 kJ/mol of formula units

=====

[7]
NaEu2Ir: relaxed, GGA-PBE.

Lattice parameters (Å, degrees): 4.1165 4.1165 31.7563 90.00 90.00 120.00
Last column: nearest neighbours and their distance in Å.
Space group R-3m (No. 166, hexagonal axes)
Asymmetric unit:
1 Na 0.0000 0.0000 0.0000 x3  2 Eu 3.73, 6 Na 4.12
2 Eu 0.0000 0.0000 0.1175 x6  3 Ir 2.84
3 Ir 0.0000 0.0000 0.5000 x3  6 Eu 2.84

Computed properties:
formation energy: -100 meV/atom

=====

[8]
NaEu2Ir: relaxed, GGA-PBE.

Lattice parameters (Å, degrees): 3.5597 3.5597 9.5373 90.00 90.00 90.00
Last column: nearest neighbours and their distance in Å.
Space group P4/mmm (No. 123)
Asymmetric unit:
1 Na 0.0000 0.0000 0.0000 x1  4 Na 3.56, 8 Eu 3.98
2 Eu 0.5000 0.5000 0.3236 x2  4 Ir 3.03, 1 Eu 3.36
3 Ir 0.0000 0.0000 0.5000 x1  8 Eu 3.03

Computed properties:
formation energy: -215 meV/atom

=====

[9]
NaEu3Ir: relaxed, GGA-PBE.

Lattice parameters (Å, degrees): 5.7228 5.7228 5.7228 90.00 90.00 90.00
Last column: nearest neighbours and their distance in Å.
Space group Pm-3m (No. 221)
Asymmetric unit:
1 Na 0.0000 0.0000 0.0000 x1  12 Eu 4.05
2 Eu 0.0000 0.5000 0.5000 x3  2 Ir 2.86
3 Ir 0.5000 0.5000 0.5000 x1  6 Eu 2.86

Computed properties:
formation energy: -197 meV/atom

=====

[10]
NaEuIr4: relaxed, GGA-PBE.

Lattice parameters (Å, degrees): 7.5688 7.5688 7.5688 90.00 90.00 90.00
Last column: nearest neighbours and their distance in Å.
Space group F-43m (No. 216)
Asymmetric unit:
1 Na 0.0000 0.0000 0.0000 x4  12 Ir 3.14, 4 Eu 3.28
2 Eu 0.2500 0.2500 0.2500 x4  12 Ir 3.14, 4 Na 3.28
3 Ir 0.1253 0.1253 0.6253 x16  6 Ir 2.67-2.68

Computed properties:
formation energy: -160 meV/atom

=====

[11]
NaPrEuIr: relaxed, GGA-PBE.

Lattice parameters (Å, degrees): 7.3702 7.3702 7.3702 90.00 90.00 90.00
Last column: nearest neighbours and their distance in Å.
Space group F-43m (No. 216)
Asymmetric unit:
1 Na 0.0000 0.0000 0.0000 x4  4 Pr 3.19, 4 Eu 3.19
2 Pr 0.2500 0.2500 0.7500 x4  4 Na 3.19, 4 Ir 3.19
3 Eu 0.2500 0.2500 0.2500 x4  4 Na 3.19, 4 Ir 3.19
4 Ir 0.0000 0.0000 0.5000 x4  4 Pr 3.19, 4 Eu 3.19

Computed properties:
formation energy: -147 meV/atom

=====

[12]
NaSmEuIr: relaxed, GGA-PBE.

Lattice parameters (Å, degrees): 7.2990 7.2990 7.2990 90.00 90.00 90.00
Last column: nearest neighbours and their distance in Å.
Space group F-43m (No. 216)
Asymmetric unit:
1 Na 0.0000 0.0000 0.0000 x4  4 Sm 3.16, 4 Eu 3.16
2 Sm 0.2500 0.2500 0.2500 x4  4 Na 3.16, 4 Ir 3.16
3 Eu 0.2500 0.2500 0.7500 x4  4 Na 3.16, 4 Ir 3.16
4 Ir 0.0000 0.0000 0.5000 x4  4 Sm 3.16, 4 Eu 3.16

Computed properties:
formation energy: -166 meV/atom

=====

[13]
NaEuSnIr: relaxed, GGA-PBE.

Lattice parameters (Å, degrees): 7.0092 7.0092 7.0092 90.00 90.00 90.00
Last column: nearest neighbours and their distance in Å.
Space group F-43m (No. 216)
Asymmetric unit:
1 Na 0.0000 0.0000 0.0000 x4  4 Sn 3.04, 4 Eu 3.04
2 Eu 0.2500 0.2500 0.2500 x4  4 Na 3.04, 4 Ir 3.04
3 Sn 0.2500 0.2500 0.7500 x4  4 Na 3.04, 4 Ir 3.04
4 Ir 0.0000 0.0000 0.5000 x4  4 Sn 3.04, 4 Eu 3.04

Computed properties:
formation energy: -200 meV/atom

=====

[14]
EuNbIr2: relaxed, GGA-PBE.

Lattice parameters (Å, degrees): 3.1661 3.1661 7.6313 90.00 90.00 90.00
Last column: nearest neighbours and their distance in Å.
Space group P4/mmm (No. 123)
Asymmetric unit:
1 Eu 0.0000 0.0000 0.0000 x1  4 Eu 3.17, 8 Ir 3.19
2 Nb 0.0000 0.0000 0.5000 x1  8 Ir 2.72
3 Ir 0.5000 0.5000 0.2982 x2  4 Nb 2.72

Computed properties:
formation energy: -360 meV/atom

=====

[15]
NdEuIr4: relaxed, GGA-PBE.

Lattice parameters (Å, degrees): 7.6805 7.6805 7.6805 90.00 90.00 90.00
Last column: nearest neighbours and their distance in Å.
Space group F-43m (No. 216)
Asymmetric unit:
1 Nd 0.0000 0.0000 0.0000 x4  12 Ir 3.18, 4 Eu 3.33
2 Eu 0.2500 0.2500 0.2500 x4  12 Ir 3.18, 4 Nd 3.33
3 Ir 0.1250 0.1250 0.6250 x16  6 Ir 2.72

Computed properties:
formation energy: -592 meV/atom

=====

[16]
NdEuIr2: relaxed, GGA-PBE.

Lattice parameters (Å, degrees): 3.4186 3.4186 7.4966 90.00 90.00 90.00
Last column: nearest neighbours and their distance in Å.
Space group P4/mmm (No. 123)
Asymmetric unit:
1 Nd 0.0000 0.0000 0.0000 x1  8 Ir 3.03
2 Eu 0.0000 0.0000 0.5000 x1  8 Ir 3.09, 4 Eu 3.42
3 Ir 0.5000 0.5000 0.2437 x2  4 Nd 3.03, 4 Eu 3.09

Computed properties:
polymorph energy (0 for the lowest one): 0.0 meV/atom
formation energy: -363 meV/atom

=====

[17]
NdEuIr2: relaxed, GGA-PBE.

Lattice parameters (Å, degrees): 7.0532 7.0532 7.0532 90.00 90.00 90.00
Last column: nearest neighbours and their distance in Å.
Space group Fm-3m (No. 225)
Asymmetric unit:
1 Nd 0.0000 0.0000 0.0000 x4  8 Ir 3.05
2 Eu 0.0000 0.0000 0.5000 x4  8 Ir 3.05
3 Ir 0.2500 0.2500 0.2500 x8  4 Nd 3.05, 4 Eu 3.05

Computed properties:
polymorph energy (0 for the lowest one): 9.2 meV/atom
formation energy: -354 meV/atom

=====

[18]
Nd3EuIr: relaxed, GGA-PBE.

Lattice parameters (Å, degrees): 5.6755 5.6755 5.6755 90.00 90.00 90.00
Last column: nearest neighbours and their distance in Å.
Space group Pm-3m (No. 221)
Asymmetric unit:
1 Nd 0.0000 0.0000 0.5000 x3  2 Ir 2.84
2 Eu 0.5000 0.5000 0.5000 x1  12 Nd 4.01
3 Ir 0.0000 0.0000 0.0000 x1  6 Nd 2.84

Computed properties:
formation energy: -236 meV/atom

=====

[19]
NdEuNiIr: relaxed, GGA-PBE.

Lattice parameters (Å, degrees): 7.0230 7.0230 7.0230 90.00 90.00 90.00
Last column: nearest neighbours and their distance in Å.
Space group F-43m (No. 216)
Asymmetric unit:
1 Nd 0.0000 0.0000 0.0000 x4  4 Ir 3.04, 4 Ni 3.04
2 Eu 0.0000 0.0000 0.5000 x4  4 Ni 3.04, 4 Ir 3.04
3 Ni 0.2500 0.2500 0.2500 x4  4 Nd 3.04, 4 Eu 3.04
4 Ir 0.2500 0.2500 0.7500 x4  4 Nd 3.04, 4 Eu 3.04

Computed properties:
formation energy: -303 meV/atom

=====

[20]
NdEuIrPd: relaxed, GGA-PBE.

Lattice parameters (Å, degrees): 7.1319 7.1319 7.1319 90.00 90.00 90.00
Last column: nearest neighbours and their distance in Å.
Space group F-43m (No. 216)
Asymmetric unit:
1 Nd 0.0000 0.0000 0.0000 x4  4 Ir 3.09, 4 Pd 3.09
2 Eu 0.0000 0.0000 0.5000 x4  4 Ir 3.09, 4 Pd 3.09
3 Ir 0.2500 0.2500 0.7500 x4  4 Nd 3.09, 4 Eu 3.09
4 Pd 0.2500 0.2500 0.2500 x4  4 Nd 3.09, 4 Eu 3.09

Computed properties:
formation energy: -589 meV/atom